Record 1
Material: Li2Zr
Method: DFT, PBE-GGA
State: optimized geometry

a = 6.356 Å, b = 6.356 Å, c = 6.356 Å
α = 90.00°, β = 90.00°, γ = 90.00°
Fractional coordinates of all 12 atoms:
Li 0.106 0.894 0.606
Zr 0.000 0.500 0.500
Li 0.894 0.394 0.894
Li 0.106 0.606 0.106
Zr 0.500 0.000 0.500
Li 0.894 0.106 0.394
Li 0.606 0.894 0.894
Li 0.394 0.394 0.606
Zr 0.500 0.500 0.000
Zr 0.000 0.000 0.000
Li 0.606 0.606 0.394
Li 0.394 0.106 0.106

## Properties
- space-group type = Pa-3, No. 205
- total DFT energy (no corrections) (eV per atom) = -3.04
- energy of formation (eV/atom) = 1.08
- energy relative to the lowest polymorph listed for this composition (eV/f.u.) = 2.779

Record 2
Material: Li2Zr
Method: DFT, PBE-GGA
State: optimized geometry

a = 3.000 Å, b = 3.000 Å, c = 8.094 Å
α = 90.00°, β = 90.00°, γ = 120.00°
Fractional coordinates of all 3 atoms:
Li 0.333 0.667 0.334
Li 0.667 0.333 0.666
Zr 0.000 0.000 0.000

## Properties
- space-group type = P-3m1, No. 164
- total DFT energy (no corrections) (eV per atom) = -3.96
- energy of formation (eV/atom) = 0.16
- energy relative to the lowest polymorph listed for this composition (eV/f.u.) = 0.017

Record 3
Material: Li2Zr
Method: DFT, PBE-GGA
State: optimized geometry

a = 8.458 Å, b = 8.458 Å, c = 5.080 Å
α = 90.00°, β = 90.00°, γ = 161.06°
Fractional coordinates of all 6 atoms:
Li 0.550 0.450 0.250
Li 0.215 0.785 0.250
Li 0.450 0.550 0.750
Li 0.785 0.215 0.750
Zr 0.111 0.889 0.750
Zr 0.889 0.111 0.250

## Properties
- space-group type = Cmcm, No. 63
- total DFT energy (no corrections) (eV per atom) = -3.79
- energy of formation (eV/atom) = 0.34
- energy relative to the lowest polymorph listed for this composition (eV/f.u.) = 0.545

Record 4
Material: LiZr3
Method: DFT, PBE-GGA
State: optimized geometry

a = 10.884 Å, b = 10.884 Å, c = 10.884 Å
α = 16.50°, β = 16.50°, γ = 16.50°
Fractional coordinates of all 4 atoms:
Zr 0.249 0.249 0.249
Zr 0.751 0.751 0.751
Li 0.000 0.000 0.000
Zr 0.500 0.500 0.500

## Properties
- space-group type = R-3m, No. 166
- total DFT energy (no corrections) (eV per atom) = -6.75
- energy of formation (eV/atom) = 0.14
- energy relative to the lowest polymorph listed for this composition (eV/f.u.) = 0.092

Record 5
Material: Li2Zr
Method: DFT, PBE-GGA
State: optimized geometry

a = 5.436 Å, b = 5.436 Å, c = 5.436 Å
α = 60.00°, β = 60.00°, γ = 60.00°
Fractional coordinates of all 6 atoms:
Zr 0.000 0.000 0.000
Li 0.625 0.625 0.125
Li 0.625 0.625 0.625
Zr 0.250 0.250 0.250
Li 0.125 0.625 0.625
Li 0.625 0.125 0.625

## Properties
- space-group type = Fd-3m, No. 227
- total DFT energy (no corrections) (eV per atom) = -3.80
- energy of formation (eV/atom) = 0.32
- energy relative to the lowest polymorph listed for this composition (eV/f.u.) = 0.496

Record 6
Material: Li2Zr
Method: DFT, PBE-GGA
State: optimized geometry

a = 4.905 Å, b = 4.905 Å, c = 2.763 Å
α = 90.00°, β = 90.00°, γ = 120.00°
Fractional coordinates of all 3 atoms:
Zr 0.000 0.000 0.500
Li 0.333 0.667 0.000
Li 0.667 0.333 0.000

## Properties
- space-group type = P6/mmm, No. 191
- total DFT energy (no corrections) (eV per atom) = -3.85
- energy of formation (eV/atom) = 0.28
- energy relative to the lowest polymorph listed for this composition (eV/f.u.) = 0.371

Record 7
Material: LiZr3
Method: DFT, PBE-GGA
State: optimized geometry

a = 5.224 Å, b = 5.224 Å, c = 3.180 Å
α = 90.00°, β = 90.00°, γ = 90.00°
Fractional coordinates of all 4 atoms:
Li 0.000 0.000 0.000
Zr 0.000 0.500 0.500
Zr 0.500 0.000 0.500
Zr 0.500 0.500 0.000

## Properties
- space-group type = P4/mmm, No. 123
- total DFT energy (no corrections) (eV per atom) = -6.66
- energy of formation (eV/atom) = 0.23
- energy relative to the lowest polymorph listed for this composition (eV/f.u.) = 0.469

Record 8
Material: LiZr5
Method: DFT, PBE-GGA
State: optimized geometry

a = 5.876 Å, b = 5.876 Å, c = 5.876 Å
α = 60.00°, β = 60.00°, γ = 60.00°
Fractional coordinates of all 6 atoms:
Zr 0.623 0.623 0.132
Zr 0.132 0.623 0.623
Zr 0.623 0.623 0.623
Zr 0.623 0.132 0.623
Li 0.000 0.000 0.000
Zr 0.250 0.250 0.250

## Properties
- space-group type = F-43m, No. 216
- total DFT energy (no corrections) (eV per atom) = -7.01
- energy of formation (eV/atom) = 0.43
- energy relative to the lowest polymorph listed for this composition (eV/f.u.) = 1.889